This record from the Alexandria database describes Ca2ScCl6 after structural relaxation. The functional is GGA-PBE.

Cell and atoms, written as POSCAR:
```
Ca2ScCl6
1.0
3.960 0.000 0.000
-1.980 6.762 -2.431
0.000 0.339 10.031
Ca Sc Cl
2 1 6
Cartesian
1.980 2.512 7.481
0.000 4.589 0.118
1.980 6.931 2.584
0.000 4.398 7.420
1.980 2.702 0.180
1.980 6.500 0.009
1.980 1.914 4.785
0.000 0.601 7.591
0.000 5.187 2.815
```

Results
total DFT energy (no corrections): -40.99 eV per cell
formation energy from raw total energies: -2175 meV per atom
symmetry: C2/m, No. 12